# AgSb2Pb

An optimized crystal structure of AgSb2Pb (PBE-GGA, Alexandria via LeMat-Bulk).

Properties
Magnetization   0.0 μB per formula unit
Formation energy (no corrections)   0.198 eV/atom

Cell lengths 5.9653, 5.9653, 3.3152 Å; angles 96.12, 96.12, 112.89 degrees
Sites, in units of the cell vectors:
Ag 0.0000 0.0000 0.0000
Sb 0.0000 0.5000 0.5000
Sb 0.5000 0.0000 0.5000
Pb 0.5000 0.5000 0.0000